# 1
Entry from the Alexandria database: a PBEsol-optimized structure of AlCoHAu2 (meta-GGA SCAN).

```
5
Lattice="-3.922 -1.723 -0.986 -0.419 -1.579 4.424 -2.088 4.042 1.244" Properties=species:S:1:pos:R:3 pbc="T T T"
Co -1.961 -0.861 -0.493
Au -1.044 2.021 0.622
Au -0.210 -0.789 2.212
Al 0.000 0.000 0.000
H -3.215 0.370 2.341
```

Computed properties:
M_tot = 2.70 μB per formula unit
calculated total energy = -161.5 eV per cell

***

# 2
Entry from the Alexandria database: a PBEsol-optimized structure of AlCoIrAu2 (meta-GGA SCAN).

```
5
Lattice="-1.258 -3.354 -2.347 3.902 0.302 -2.523 2.142 -2.879 2.968" Properties=species:S:1:pos:R:3 pbc="T T T"
Co 0.000 0.000 0.000
Ir -0.629 -1.677 -1.173
Au 1.071 -1.440 1.484
Au 1.951 0.151 -1.262
Al 2.393 -2.966 -0.951
```

Computed properties:
M_tot = 0.25 μB per formula unit
calculated total energy = -229.3 eV per cell
energy relative to the elements = 100.06 kJ per mole of atoms

***

# 3
Entry from the Alexandria database: a PBEsol-optimized structure of AlCoOs2Au (meta-GGA SCAN).

```
5
Lattice="-0.750 -1.773 3.640 -3.777 -1.635 -1.575 2.123 -3.626 -1.329" Properties=species:S:1:pos:R:3 pbc="T T T"
Os 1.062 -1.813 -0.664
Os -1.889 -0.817 -0.787
Au -1.202 -3.517 0.368
Al 0.000 0.000 0.000
Co -0.375 -0.887 1.820
```

Computed properties:
M_tot = 2.56 μB per formula unit
calculated total energy = -230.5 eV per cell
energy relative to the elements = 143.68 kJ per mole of atoms

***

# 4
Entry from the Alexandria database: a PBEsol-optimized structure of AlCrAu3 (meta-GGA SCAN).

```
5
Lattice="4.847 0.000 0.000 0.000 4.847 0.000 0.000 0.000 4.847" Properties=species:S:1:pos:R:3 pbc="T T T"
Cr 0.000 0.000 0.000
Au 0.000 2.424 0.000
Au 0.000 0.000 2.424
Au 2.424 0.000 0.000
Al 2.424 2.424 2.424
```

Computed properties:
M_tot = 3.92 μB per formula unit
calculated total energy = -229.9 eV per cell
energy relative to the elements = 71.05 kJ per mole of atoms

***

# 5
Entry from the Alexandria database: a PBEsol-optimized structure of Al2CrAu (meta-GGA SCAN).

```
4
Lattice="3.650 0.000 0.000 0.000 3.974 0.000 0.000 0.000 3.974" Properties=species:S:1:pos:R:3 pbc="T T T"
Cr 1.825 0.000 0.000
Au 1.825 1.987 1.987
Al 0.000 0.000 1.987
Al 0.000 1.987 0.000
```

Computed properties:
M_tot = 2.54 μB per formula unit
calculated total energy = -105.0 eV per cell
energy relative to the elements = -46.83 kJ per mole of atoms

***

# 6
Entry from the Alexandria database: a PBEsol-optimized structure of AlCrAu2 (meta-GGA SCAN).

```
4
Lattice="3.630 0.000 0.000 0.000 4.154 0.000 0.000 0.000 4.154" Properties=species:S:1:pos:R:3 pbc="T T T"
Cr 1.815 2.077 2.077
Au 0.000 0.000 2.077
Au 0.000 2.077 0.000
Al 1.815 0.000 0.000
```

Computed properties:
M_tot = 3.76 μB per formula unit
calculated total energy = -166.1 eV per cell
energy relative to the elements = -39.69 kJ per mole of atoms

***

# 7
Entry from the Alexandria database: a PBEsol-optimized structure of Al2CrAu (meta-GGA SCAN).

```
4
Lattice="2.818 0.000 0.000 1.409 2.441 0.000 1.409 0.814 8.611" Properties=species:S:1:pos:R:3 pbc="T T T"
Cr 1.409 0.814 2.100
Au 2.818 1.627 4.266
Al 4.227 2.441 0.115
Al 4.227 2.441 6.435
```

Computed properties:
M_tot = 0.00 μB per formula unit
calculated total energy = -102.7 eV per cell
energy relative to the elements = 7.28 kJ per mole of atoms

***

# 8
Entry from the Alexandria database: a PBEsol-optimized structure of AlCrAu2 (meta-GGA SCAN).

```
4
Lattice="-3.434 -1.850 -2.170 0.234 -0.645 -4.411 0.360 -4.138 -1.634" Properties=species:S:1:pos:R:3 pbc="T T T"
Cr -0.710 -1.658 -2.054
Au 0.000 0.000 0.000
Au -2.130 -4.975 -6.161
Al -1.420 -3.316 -4.107
```

Computed properties:
M_tot = 3.90 μB per formula unit
calculated total energy = -165.5 eV per cell
energy relative to the elements = -24.23 kJ per mole of atoms

***

# 9
Entry from the Alexandria database: a PBEsol-optimized structure of Al2CrAu (meta-GGA SCAN).

```
4
Lattice="-2.155 -1.098 3.125 -0.492 -3.581 -1.597 4.471 1.129 0.981" Properties=species:S:1:pos:R:3 pbc="T T T"
Cr -1.323 -2.339 0.764
Au 0.000 0.000 0.000
Al 0.496 -1.154 2.435
Al 1.328 -2.396 0.074
```

Computed properties:
M_tot = 3.08 μB per formula unit
calculated total energy = -104.3 eV per cell
energy relative to the elements = -30.53 kJ per mole of atoms

***

# 10
Entry from the Alexandria database: a PBEsol-optimized structure of Al2CrAu (meta-GGA SCAN).

```
4
Lattice="-1.961 -1.033 -1.594 1.641 -4.566 1.431 -2.521 2.858 3.343" Properties=species:S:1:pos:R:3 pbc="T T T"
Cr 0.820 -2.283 0.715
Au -0.980 -0.516 -0.797
Al -1.261 1.429 1.671
Al -1.421 -1.371 1.590
```

Computed properties:
M_tot = 1.43 μB per formula unit
calculated total energy = -103.5 eV per cell
energy relative to the elements = -10.91 kJ per mole of atoms

***

# 11
Entry from the Alexandria database: a PBEsol-optimized structure of AlCuAu2 (meta-GGA SCAN).

```
4
Lattice="-2.409 -1.504 1.636 2.222 -1.568 1.830 -0.098 4.200 3.717" Properties=species:S:1:pos:R:3 pbc="T T T"
Au -0.095 4.084 3.614
Au -0.121 -0.353 2.780
Al -0.166 1.585 4.495
Cu -0.049 2.112 1.869
```

Computed properties:
M_tot = 0.00 μB per formula unit
calculated total energy = -162.6 eV per cell
energy relative to the elements = -32.82 kJ per mole of atoms

***

# 12
Entry from the Alexandria database: a PBEsol-optimized structure of Al2CuAu (meta-GGA SCAN).

```
4
Lattice="-1.154 -2.461 1.384 3.143 -0.389 1.929 -1.944 3.036 3.779" Properties=species:S:1:pos:R:3 pbc="T T T"
Au -0.940 1.468 1.828
Al -1.893 2.957 3.681
Al 0.482 -0.625 2.653
Cu -0.519 0.938 4.598
```

Computed properties:
M_tot = 0.00 μB per formula unit
calculated total energy = -101.4 eV per cell
energy relative to the elements = -36.74 kJ per mole of atoms

***

# 13
Entry from the Alexandria database: a PBEsol-optimized structure of AlCuAu2 (meta-GGA SCAN).

```
4
Lattice="3.013 0.000 0.000 0.000 4.469 -0.008 -1.507 -1.362 4.434" Properties=species:S:1:pos:R:3 pbc="T T T"
Au 1.507 2.946 4.293
Au 1.507 0.604 2.324
Al 0.000 2.809 2.108
Cu 1.507 2.089 0.124
```

Computed properties:
M_tot = 0.00 μB per formula unit
calculated total energy = -162.7 eV per cell
energy relative to the elements = -34.87 kJ per mole of atoms

***

# 14
Entry from the Alexandria database: a PBEsol-optimized structure of AlCuAu (meta-GGA SCAN).

```
3
Lattice="-2.140 1.571 -1.803 -1.988 0.174 2.512 3.774 2.725 0.749" Properties=species:S:1:pos:R:3 pbc="T T T"
Au -1.500 2.060 0.720
Al -0.377 4.423 1.445
Cu 1.167 2.456 0.754
```

Computed properties:
M_tot = 0.00 μB per formula unit
calculated total energy = -93.4 eV per cell
energy relative to the elements = -41.63 kJ per mole of atoms

***

# 15
Entry from the Alexandria database: a PBEsol-optimized structure of AlCuAu2 (meta-GGA SCAN).

```
4
Lattice="-1.052 2.308 -1.393 -2.463 -2.488 -2.263 -3.049 -0.732 4.125" Properties=species:S:1:pos:R:3 pbc="T T T"
Au -2.937 -0.604 3.862
Au -2.910 0.178 -0.868
Al -4.033 -0.774 1.401
Cu -1.784 0.343 1.565
```

Computed properties:
M_tot = 0.00 μB per formula unit
calculated total energy = -162.6 eV per cell
energy relative to the elements = -31.33 kJ per mole of atoms